(1)
VASP calculation (GGA-PBE) on a geometry-optimized BaCdGa2Au2 structure. Values from VASP.

Results
The formation energy is -2.8 eV/f.u. As for the space group: P-3m1, No. 164.

Quantum ESPRESSO input file:
```
&SYSTEM
  ibrav = 0, nat = 6, ntyp = 4
/
ATOMIC_SPECIES
Ba 137.33 Ba.upf
Cd 112.41 Cd.upf
Ga 69.72 Ga.upf
Au 196.97 Au.upf
CELL_PARAMETERS angstrom
4.594 0.000 0.000
-2.297 3.978 0.000
0.000 0.000 7.828
ATOMIC_POSITIONS angstrom
Ba 0.000 0.000 0.000
Cd 0.000 0.000 3.914
Ga 0.000 2.652 5.466
Ga 2.297 1.326 2.362
Au 0.000 2.652 2.487
Au 2.297 1.326 5.340
```

***

(2)
VASP calculation (GGA-PBE) on a geometry-optimized Pr10Er4Th structure. Values from VASP.

Results
The formation energy is 6.9 eV/f.u. As for the space group: I4/m, No. 87.

Quantum ESPRESSO input file:
```
&SYSTEM
  ibrav = 0, nat = 15, ntyp = 3
/
ATOMIC_SPECIES
Pr 140.91 Pr.upf
Er 167.26 Er.upf
Th 232.04 Th.upf
CELL_PARAMETERS angstrom
-5.061 5.061 5.457
5.061 -5.061 5.457
5.061 5.061 -5.457
ATOMIC_POSITIONS angstrom
Pr 3.856 -2.780 3.581
Pr 7.841 -1.205 1.876
Pr 5.061 0.000 2.728
Pr 2.281 1.205 1.876
Pr -1.205 2.281 1.876
Pr 6.266 2.780 3.581
Pr 2.780 3.856 3.581
Pr 0.000 5.061 2.728
Pr -2.780 6.266 3.581
Pr 1.205 7.841 1.876
Er 5.632 2.293 0.000
Er 2.293 4.489 0.000
Er 2.768 0.572 5.457
Er -0.572 2.768 5.457
Th 0.000 0.000 0.000
```

***

(3)
VASP calculation (GGA-PBE) on a geometry-optimized KLa2Mo structure. Values from VASP.

Results
The formation energy is 4.0 eV/f.u. As for the space group: P2/m, No. 10. The energy relative to the lowest polymorph listed for this composition comes out at 0.6497 eV per atom.

Quantum ESPRESSO input file:
```
&SYSTEM
  ibrav = 0, nat = 4, ntyp = 3
/
ATOMIC_SPECIES
K 39.10 K.upf
La 138.91 La.upf
Mo 95.94 Mo.upf
CELL_PARAMETERS angstrom
6.240 0.000 0.000
0.000 3.178 0.000
-2.800 0.000 5.866
ATOMIC_POSITIONS angstrom
K 0.000 0.000 0.000
La -1.400 0.000 2.933
La 3.120 1.589 0.000
Mo 1.720 1.589 2.933
```

***

(4)
VASP calculation (GGA-PBE) on a geometry-optimized Pm3AlGa2Ru3 structure. Values from VASP.

Results
The formation energy is -3.5 eV/f.u. As for the space group: P-62m, No. 189.

Quantum ESPRESSO input file:
```
&SYSTEM
  ibrav = 0, nat = 9, ntyp = 4
/
ATOMIC_SPECIES
Pm 145.00 Pm.upf
Al 26.98 Al.upf
Ga 69.72 Ga.upf
Ru 101.07 Ru.upf
CELL_PARAMETERS angstrom
7.426 0.000 0.000
-3.713 6.431 0.000
0.000 0.000 3.740
ATOMIC_POSITIONS angstrom
Pm -2.263 3.920 0.000
Pm 1.450 2.511 0.000
Pm 4.527 0.000 0.000
Al 0.000 0.000 0.000
Ga 0.000 4.287 1.870
Ga 3.713 2.144 1.870
Ru -0.918 1.590 1.870
Ru 1.836 0.000 1.870
Ru 2.795 4.841 1.870
```

***

(5)
VASP calculation (GGA-PBE) on a geometry-optimized Na2TlSnBr6 structure. Values from VASP.

Results
The value obtained for the energy relative to the elements, uncorrected is -100 kJ/mol of atoms. As for the space group: R3, No. 146.

Quantum ESPRESSO input file:
```
&SYSTEM
  ibrav = 0, nat = 10, ntyp = 4
/
ATOMIC_SPECIES
Na 22.99 Na.upf
Tl 204.38 Tl.upf
Sn 118.71 Sn.upf
Br 79.90 Br.upf
CELL_PARAMETERS angstrom
3.787 2.186 6.965
-3.787 2.186 6.965
0.000 -4.373 6.965
ATOMIC_POSITIONS angstrom
Na 0.000 0.000 0.000
Na 0.000 0.000 10.183
Tl 0.000 0.000 3.986
Sn 0.000 0.000 14.187
Br -2.664 -0.067 8.738
Br -1.253 -1.812 12.413
Br 1.390 -2.274 8.738
Br -0.943 1.991 12.413
Br 1.274 2.340 8.738
Br 2.196 -0.179 12.413
```

***

(6)
VASP calculation (GGA-PBE) on a geometry-optimized Sr2AcH structure. Values from VASP.

Results
As for the space group: R3m, No. 160. The energy relative to the lowest polymorph listed for this composition comes out at 0.0077 eV per atom.

Quantum ESPRESSO input file:
```
&SYSTEM
  ibrav = 0, nat = 4, ntyp = 3
/
ATOMIC_SPECIES
Sr 87.62 Sr.upf
Ac 227.00 Ac.upf
H 1.01 H.upf
CELL_PARAMETERS angstrom
2.002 1.156 10.085
-2.002 1.156 10.085
0.000 -2.312 10.085
ATOMIC_POSITIONS angstrom
Sr 0.000 0.000 0.000
Sr 0.000 0.000 6.813
Ac 0.000 0.000 23.610
H 0.000 0.000 18.567
```

***

(7)
VASP calculation (GGA-PBE) on a geometry-optimized LiCeHgCl6 structure. Values from VASP.

Results
The value obtained for the energy relative to the elements, uncorrected is -148 kJ/mol of atoms. As for the space group: P312, No. 149.

Quantum ESPRESSO input file:
```
&SYSTEM
  ibrav = 0, nat = 9, ntyp = 4
/
ATOMIC_SPECIES
Li 6.94 Li.upf
Ce 140.12 Ce.upf
Hg 200.59 Hg.upf
Cl 35.45 Cl.upf
CELL_PARAMETERS angstrom
6.755 0.000 0.000
-3.377 5.850 0.000
0.000 0.000 6.124
ATOMIC_POSITIONS angstrom
Li 0.000 0.000 0.000
Ce 3.377 1.950 0.000
Hg 0.000 3.900 3.062
Cl 2.156 0.029 1.487
Cl 1.103 1.852 4.636
Cl 4.599 0.029 4.636
Cl 2.325 3.969 1.487
Cl 5.652 1.852 1.487
Cl 4.430 3.969 4.636
```

***

(8)
VASP calculation (GGA-PBE) on a geometry-optimized Mn2Tc structure. Values from VASP.

Results
The formation energy is 1.4 eV/f.u. As for the space group: I4/mcm, No. 140. The energy relative to the lowest polymorph listed for this composition comes out at 0.5432 eV per atom.

Quantum ESPRESSO input file:
```
&SYSTEM
  ibrav = 0, nat = 6, ntyp = 2
/
ATOMIC_SPECIES
Mn 54.94 Mn.upf
Tc 98.00 Tc.upf
CELL_PARAMETERS angstrom
-2.869 2.869 2.396
2.869 -2.869 2.396
2.869 2.869 -2.396
ATOMIC_POSITIONS angstrom
Mn 3.632 0.763 0.000
Mn 0.763 2.106 0.000
Mn 2.106 0.763 2.396
Mn -0.763 2.106 2.396
Tc 0.000 0.000 1.198
Tc 0.000 0.000 3.594
```

***

(9)
VASP calculation (GGA-PBE) on a geometry-optimized YErPt structure. Values from VASP.

Results
The formation energy is -2.3 eV/f.u. As for the space group: P3m1, No. 156. The energy relative to the lowest polymorph listed for this composition comes out at 0.1172 eV per atom.

Quantum ESPRESSO input file:
```
&SYSTEM
  ibrav = 0, nat = 3, ntyp = 3
/
ATOMIC_SPECIES
Y 88.91 Y.upf
Er 167.26 Er.upf
Pt 195.08 Pt.upf
CELL_PARAMETERS angstrom
4.096 0.000 0.000
-2.048 3.547 0.000
0.000 0.000 6.125
ATOMIC_POSITIONS angstrom
Y 0.000 0.000 0.000
Er 0.000 2.365 2.978
Pt 2.048 1.182 1.536
```

***

(10)
VASP calculation (GGA-PBE) on a geometry-optimized Pm2Si2Se7 structure. Values from VASP.

Results
The value obtained for the energy relative to the elements, uncorrected is -87 kJ/mol of atoms. As for the space group: C2/m, No. 12.

Quantum ESPRESSO input file:
```
&SYSTEM
  ibrav = 0, nat = 11, ntyp = 3
/
ATOMIC_SPECIES
Pm 145.00 Pm.upf
Si 28.09 Si.upf
Se 78.96 Se.upf
CELL_PARAMETERS angstrom
4.760 -5.673 0.000
4.760 5.673 0.000
-1.207 0.000 6.076
ATOMIC_POSITIONS angstrom
Pm 4.760 3.329 0.000
Pm 4.760 -3.329 0.000
Si 1.878 0.000 3.537
Si 6.436 0.000 2.539
Se 1.414 1.933 4.671
Se 0.635 0.000 1.630
Se 1.414 -1.933 4.671
Se 4.157 0.000 3.038
Se 6.900 1.933 1.405
Se 7.680 0.000 4.446
Se 6.900 -1.933 1.405
```

***

(11)
VASP calculation (GGA-PBE) on a geometry-optimized PrGdMgIn structure. Values from VASP.

Results
The formation energy is -1.3 eV/f.u. As for the space group: F-43m, No. 216.

Quantum ESPRESSO input file:
```
&SYSTEM
  ibrav = 0, nat = 4, ntyp = 4
/
ATOMIC_SPECIES
Pr 140.91 Pr.upf
Gd 157.25 Gd.upf
Mg 24.30 Mg.upf
In 114.82 In.upf
CELL_PARAMETERS angstrom
0.000 3.846 3.846
3.846 0.000 3.846
3.846 3.846 0.000
ATOMIC_POSITIONS angstrom
Pr 0.000 0.000 0.000
Gd 3.846 3.846 3.846
Mg 1.923 1.923 1.923
In 5.769 5.769 5.769
```

***

(12)
VASP calculation (GGA-PBE) on a geometry-optimized Na3GeAu structure. Values from VASP.

Results
The formation energy is -1.2 eV/f.u. As for the space group: Cmcm, No. 63. The energy relative to the lowest polymorph listed for this composition comes out at 0.0000 eV per atom.

Quantum ESPRESSO input file:
```
&SYSTEM
  ibrav = 0, nat = 10, ntyp = 3
/
ATOMIC_SPECIES
Na 22.99 Na.upf
Ge 72.64 Ge.upf
Au 196.97 Au.upf
CELL_PARAMETERS angstrom
2.520 -4.992 0.000
2.520 4.992 0.000
0.000 0.000 9.369
ATOMIC_POSITIONS angstrom
Na 2.520 4.124 7.026
Na 2.520 3.032 0.768
Na 2.520 3.032 3.917
Na 2.520 -3.032 5.452
Na 2.520 -3.032 8.601
Na 2.520 -4.124 2.342
Ge 2.520 1.020 7.026
Ge 2.520 -1.020 2.342
Au 2.520 0.000 0.000
Au 2.520 0.000 4.684
```